A plane-wave DFT calculation with GGA-PBE was carried out for a geometry-optimized Rb4ClF3 structure.

a = 7.3780 Å, b = 7.3780 Å, c = 4.2074 Å
α = 90.16°, β = 90.16°, γ = 70.72°
Positions (direct):
Rb  0.2242  0.7758  0.0000
Rb  0.2384  0.2384  0.5010
Rb  0.7616  0.7616  0.4990
Rb  0.7758  0.2242  0.0000
Cl  0.5000  0.5000  0.5000
F  0.0000  0.0000  0.5000
F  0.0000  0.5000  0.0000
F  0.5000  0.0000  0.0000

Properties
Energy relative to the elements, uncorrected (eV per atom): -2.444
Space-group type: C2/m
DFT total energy (eV for the cell shown): -30.88
Crystal system: monoclinic
Density of states at the Fermi level (states/eV/cell): 0.00
Magnetization (μB per formula unit): 0.28